{"formula": "CaCoCuP2", "functional": "PBE", "state": "relaxed", "lattice": [[3.914, 0.000, 0.000], [0.000, 3.914, 0.000], [-1.957, -1.957, 4.808]], "species": ["Ca", "Co", "Cu", "P", "P"], "frac_coords": [[0.000, 0.000, 0.000], [0.250, 0.750, 0.500], [0.750, 0.250, 0.500], [0.622, 0.622, 0.244], [0.378, 0.378, 0.756]], "formation_enthalpy_0k_ev_per_atom": -0.654, "space_group": "I-4m2 (119)", "total_energy_ev_per_fu": -27.29}